The following is a DFT calculation (GGA-PBE) of an optimized crystal structure of TbPr2Ga4Pd3.

Results
Symmetry: P-4m2, No. 115
DOS at the Fermi energy (states/eV/f.u.): 10.2
Calculated formation energy (eV per atom): -0.716
Spin magnetization (μB/atom): 0.000
DFT total energy (eV per atom): -4.90

Lattice parameters (Å, degrees): 4.286 4.286 11.681 90.00 90.00 90.00
Fractional coordinates of all 10 atoms:
Pr (0.500, 0.000, 0.226)
Pr (0.000, 0.500, 0.774)
Ga (0.000, 0.000, 0.000)
Ga (0.500, 0.500, 0.000)
Ga (0.500, 0.000, 0.668)
Ga (0.000, 0.500, 0.332)
Pd (0.500, 0.000, 0.880)
Pd (0.000, 0.500, 0.120)
Pd (0.000, 0.000, 0.500)
Tb (0.500, 0.500, 0.500)

***

The following is a DFT calculation (GGA-PBE) of an optimized crystal structure of CsBi2Sb2S6.

Results
Symmetry: P-1, No. 2
Energy relative to the elements, uncorrected (eV per atom): -0.36
DOS at the Fermi energy (states/eV/f.u.): 1.5
Spin magnetization (μB/atom): 0.000
DFT total energy (eV per atom): -4.14

Lattice parameters (Å, degrees): 8.789 10.233 9.672 125.19 89.67 51.58
Fractional coordinates of all 11 atoms:
Sb (0.231, 0.713, 0.828)
Sb (0.769, 0.287, 0.172)
S (0.718, 0.204, 0.518)
S (0.668, 0.199, 0.910)
S (0.045, 0.648, 0.910)
S (0.282, 0.796, 0.482)
S (0.955, 0.352, 0.090)
S (0.332, 0.801, 0.090)
Bi (0.162, 0.722, 0.213)
Bi (0.838, 0.278, 0.787)
Cs (0.500, 0.000, 0.500)

***

The following is a DFT calculation (GGA-PBE) of an optimized crystal structure of TcIrS.

Results
Symmetry: P-6m2, No. 187
Energy relative to the elements, uncorrected (eV per atom): -0.18
DOS at the Fermi energy (states/eV/f.u.): 2.6
Spin magnetization (μB/atom): 0.000
DFT total energy (eV per atom): -7.97

Lattice parameters (Å, degrees): 2.923 2.923 11.999 90.00 90.00 120.00
Fractional coordinates of all 6 atoms:
Tc (0.222, 0.445, 0.183)
Tc (0.222, 0.445, 0.817)
Ir (0.555, 0.111, 0.500)
Ir (0.556, 0.111, 0.000)
S (0.556, 0.111, 0.313)
S (0.556, 0.111, 0.687)

***

The following is a DFT calculation (GGA-PBE) of an optimized crystal structure of SrBe2VRe.

Results
Symmetry: P4/mmm, No. 123
DOS at the Fermi energy (states/eV/f.u.): 5.7
Calculated formation energy (eV per atom): 0.638
Spin magnetization (μB/atom): 0.000
DFT total energy (eV per atom): -5.50

Lattice parameters (Å, degrees): 4.645 4.522 4.645 90.00 90.00 90.00
Fractional coordinates of all 5 atoms:
Sr (0.500, 0.500, 0.500)
Be (0.500, 0.000, 0.000)
Be (0.000, 0.000, 0.500)
V (0.000, 0.500, 0.000)
Re (0.000, 0.000, 0.000)

***

The following is a DFT calculation (GGA-PBE) of an optimized crystal structure of LaPr3Tl4.

Results
Symmetry: P4/mmm, No. 123
DOS at the Fermi energy (states/eV/f.u.): 8.1
Calculated formation energy (eV per atom): -0.403
Spin magnetization (μB/atom): 0.000
DFT total energy (eV per atom): -3.99

Lattice parameters (Å, degrees): 3.943 3.943 15.810 90.00 90.00 90.00
Fractional coordinates of all 8 atoms:
Tl (0.000, 0.000, 0.129)
Tl (0.000, 0.000, 0.376)
Tl (0.000, 0.000, 0.871)
Tl (0.000, 0.000, 0.624)
Pr (0.500, 0.500, 0.748)
Pr (0.500, 0.500, 0.500)
Pr (0.500, 0.500, 0.252)
La (0.500, 0.500, 0.000)

***

The following is a DFT calculation (GGA-PBE) of an optimized crystal structure of RbYHf.

Results
Symmetry: P-1, No. 2
DOS at the Fermi energy (states/eV/f.u.): 3.7
Calculated formation energy (eV per atom): 0.355
Spin magnetization (μB/atom): 0.000
DFT total energy (eV per atom): -5.44

Lattice parameters (Å, degrees): 5.133 14.762 3.496 84.72 89.99 69.61
Fractional coordinates of all 6 atoms:
Y (0.173, 0.609, 0.430)
Y (0.963, 0.319, 0.542)
Hf (0.767, 0.515, 0.966)
Hf (0.369, 0.414, 0.006)
Rb (0.677, 0.106, 0.123)
Rb (0.460, 0.823, 0.849)

***

The following is a DFT calculation (GGA-PBE) of an optimized crystal structure of Na16Cd12Cu.

Results
Symmetry: Cm, No. 8
DOS at the Fermi energy (states/eV/f.u.): 13.8
Calculated formation energy (eV per atom): -0.062
Spin magnetization (μB/atom): 0.000
DFT total energy (eV per atom): -1.31

Lattice parameters (Å, degrees): 10.038 10.038 9.915 108.52 108.52 109.07
Fractional coordinates of all 29 atoms:
Na (0.991, 0.991, 0.634)
Na (0.322, 0.709, 0.304)
Na (0.303, 0.303, 0.704)
Na (0.002, 0.680, 0.410)
Na (0.680, 0.002, 0.410)
Na (0.659, 0.428, 0.023)
Na (0.586, 0.288, 0.594)
Na (0.428, 0.659, 0.023)
Na (0.709, 0.322, 0.304)
Na (0.991, 0.406, 0.677)
Na (0.639, 0.992, 0.005)
Na (0.996, 0.996, 0.000)
Na (0.406, 0.991, 0.677)
Na (0.390, 0.390, 0.327)
Na (0.288, 0.586, 0.594)
Na (0.992, 0.639, 0.005)
Cd (0.181, 0.998, 0.355)
Cd (0.998, 0.181, 0.355)
Cd (0.812, 0.812, 0.204)
Cd (0.368, 0.000, 0.181)
Cd (0.173, 0.799, 0.817)
Cd (0.159, 0.338, 0.972)
Cd (0.000, 0.368, 0.181)
Cd (0.799, 0.173, 0.817)
Cd (0.817, 0.635, 0.626)
Cd (0.653, 0.653, 0.838)
Cd (0.635, 0.817, 0.626)
Cd (0.338, 0.159, 0.972)
Cu (0.682, 0.682, 0.365)

***

The following is a DFT calculation (GGA-PBE) of an optimized crystal structure of LaPm2Pr4Nd.

Results
Symmetry: P2/m, No. 10
DOS at the Fermi energy (states/eV/f.u.): 14.4
Calculated formation energy (eV per atom): 0.015
Spin magnetization (μB/atom): 0.000
DFT total energy (eV per atom): -4.77

Lattice parameters (Å, degrees): 3.708 12.301 6.401 79.70 90.00 90.00
Fractional coordinates of all 8 atoms:
Pr (0.000, 0.248, 0.252)
Pr (0.500, 0.752, 0.249)
Pr (0.500, 0.248, 0.751)
Pr (0.000, 0.752, 0.748)
La (0.500, 0.500, 0.000)
Nd (0.000, 0.500, 0.500)
Pm (0.000, 0.000, 0.000)
Pm (0.500, 0.000, 0.500)

***

The following is a DFT calculation (GGA-PBE) of an optimized crystal structure of SrLa3Ir.

Results
Symmetry: C2/m, No. 12
DOS at the Fermi energy (states/eV/f.u.): 8.1
Calculated formation energy (eV per atom): -0.265
Spin magnetization (μB/atom): 0.000
DFT total energy (eV per atom): -5.33

Lattice parameters (Å, degrees): 28.149 11.979 11.979 161.14 161.44 18.56
Fractional coordinates of all 10 atoms:
La (0.650, 0.404, 0.596)
La (0.350, 0.596, 0.404)
La (0.010, 0.417, 0.583)
La (0.310, 0.488, 0.512)
La (0.690, 0.512, 0.488)
La (0.990, 0.583, 0.417)
Ir (0.466, 0.879, 0.121)
Ir (0.534, 0.121, 0.879)
Sr (0.211, 0.960, 0.040)
Sr (0.789, 0.040, 0.960)

***

The following is a DFT calculation (GGA-PBE) of an optimized crystal structure of Ac2ZrAgO6.

Results
Symmetry: P4mm, No. 99
Energy relative to the elements, uncorrected (eV per atom): -2.54
DOS at the Fermi energy (states/eV/f.u.): 1.9
Spin magnetization (μB/atom): 0.000
DFT total energy (eV per atom): -7.48

Lattice parameters (Å, degrees): 4.458 6.019 6.019 90.00 90.00 90.00
Fractional coordinates of all 10 atoms:
O (0.716, 0.764, 0.236)
O (0.716, 0.236, 0.236)
O (0.716, 0.764, 0.764)
O (0.141, 0.500, 0.500)
O (0.159, 0.000, 0.000)
O (0.716, 0.236, 0.764)
Ag (0.625, 0.500, 0.500)
Ac (0.025, 0.500, 0.000)
Ac (0.025, 0.000, 0.500)
Zr (0.607, 0.000, 0.000)

***

The following is a DFT calculation (GGA-PBE) of an optimized crystal structure of Ac2DyGeO6.

Results
Symmetry: C2/m, No. 12
Energy relative to the elements, uncorrected (eV per atom): -2.79
DOS at the Fermi energy (states/eV/f.u.): 3.8
Spin magnetization (μB/atom): 0.000
DFT total energy (eV per atom): -7.51

Lattice parameters (Å, degrees): 5.961 6.038 6.035 58.83 60.04 89.40
Fractional coordinates of all 10 atoms:
O (0.364, 0.257, 0.893)
O (0.197, 0.193, 0.485)
O (0.803, 0.807, 0.515)
O (0.636, 0.743, 0.107)
O (0.197, 0.682, 0.997)
O (0.803, 0.318, 0.003)
Ac (0.234, 0.752, 0.518)
Ac (0.766, 0.248, 0.482)
Ge (0.500, 0.500, 0.000)
Dy (0.000, 0.000, 0.000)

***

The following is a DFT calculation (GGA-PBE) of an optimized crystal structure of Na6TlHg.

Results
Symmetry: P4/mmm, No. 123
DOS at the Fermi energy (states/eV/f.u.): 4.3
Calculated formation energy (eV per atom): -0.102
Spin magnetization (μB/atom): 0.000
DFT total energy (eV per atom): -1.43

Lattice parameters (Å, degrees): 5.027 5.027 9.455 90.00 90.00 90.00
Fractional coordinates of all 8 atoms:
Na (0.500, 0.500, 0.000)
Na (0.000, 0.500, 0.756)
Na (0.500, 0.000, 0.756)
Na (0.000, 0.500, 0.244)
Na (0.500, 0.500, 0.500)
Na (0.500, 0.000, 0.244)
Hg (0.000, 0.000, 0.000)
Tl (0.000, 0.000, 0.500)

***

> The lowest DOS at the Fermi energy belongs to which entry?

CsBi2Sb2S6